Entry 1:
# MgBiPd14

An optimized crystal structure of MgBiPd14 (GGA-PBE, Alexandria via LeMat-Bulk).

Summary:
E_form (eV per atom): -0.181
Electronic total energy (eV per cell): -81.1

```
MgBiPd14
1.0
5.698 -0.011 0.000
0.013 5.698 0.000
0.000 0.000 7.869
Pd Bi Mg
14 1 1
direct
0.122 0.628 0.247
0.875 0.875 0.000
0.122 0.628 0.753
0.628 0.122 0.753
0.122 0.122 0.753
0.875 0.375 0.500
0.375 0.875 0.000
0.375 0.875 0.500
0.875 0.375 0.000
0.375 0.375 0.000
0.122 0.122 0.247
0.628 0.628 0.753
0.628 0.628 0.247
0.628 0.122 0.247
0.375 0.375 0.500
0.875 0.875 0.500
```

=====

Entry 2:
# Mg3BiPd

An optimized crystal structure of Mg3BiPd (GGA-PBE, Alexandria via LeMat-Bulk).

Summary:
ΔE to the lowest computed polymorph (meV/atom): 63.2
E_form (eV per atom): -0.302
Electronic total energy (eV per cell): -61.5

```
Mg3BiPd
1.0
-0.760 1.812 7.389
-7.048 -3.641 0.168
1.906 -7.434 2.019
Pd Mg Bi
4 12 4
direct
0.365 0.800 0.700
0.865 0.700 0.800
0.135 0.300 0.200
0.635 0.200 0.300
0.589 0.803 0.967
0.817 0.433 0.067
0.411 0.467 0.303
0.683 0.933 0.567
0.089 0.697 0.533
0.911 0.033 0.197
0.411 0.197 0.033
0.089 0.967 0.803
0.183 0.567 0.933
0.589 0.533 0.697
0.317 0.067 0.433
0.911 0.303 0.467
0.750 0.162 0.838
0.250 0.339 0.661
0.750 0.661 0.339
0.250 0.838 0.162
```